Record 1
CaNb3Sn: optimized geometry, PBE.

Cell and atoms, written as CIF:
```
data_CaNb3Sn
_chemical_formula_sum 'Ca1 Nb3 Sn1'
_cell_length_a 4.8013
_cell_length_b 4.8013
_cell_length_c 4.8013
_cell_angle_alpha 90.00
_cell_angle_beta 90.00
_cell_angle_gamma 90.00
_space_group_name_H-M_alt 'P 1'
_space_group_IT_number 1
loop_
_space_group_symop_operation_xyz
'x,y,z'
loop_
_atom_site_label
_atom_site_type_symbol
_atom_site_fract_x
_atom_site_fract_y
_atom_site_fract_z
_atom_site_occupancy
Ca1 Ca 0.0000 0.0000 0.0000 1
Nb1 Nb 0.0000 0.0000 0.5000 1
Nb2 Nb 0.0000 0.5000 0.0000 1
Nb3 Nb 0.5000 0.0000 0.0000 1
Sn1 Sn 0.5000 0.5000 0.5000 1
```

**SG**: Pm-3m (221)
**DFT formation energy**: 1.936 eV per atom
**Energy relative to the lowest polymorph listed for this composition**: 609.0 meV/atom

---

Record 2
CaNb3Sn: optimized geometry, PBE.

Cell and atoms, written as CIF:
```
data_CaNb3Sn
_chemical_formula_sum 'Ca1 Nb3 Sn1'
_cell_length_a 5.1659
_cell_length_b 5.1659
_cell_length_c 5.1659
_cell_angle_alpha 90.00
_cell_angle_beta 90.00
_cell_angle_gamma 90.00
_space_group_name_H-M_alt 'P 1'
_space_group_IT_number 1
loop_
_space_group_symop_operation_xyz
'x,y,z'
loop_
_atom_site_label
_atom_site_type_symbol
_atom_site_fract_x
_atom_site_fract_y
_atom_site_fract_z
_atom_site_occupancy
Ca1 Ca 0.0000 0.0000 0.0000 1
Nb1 Nb 0.0000 0.5000 0.5000 1
Nb2 Nb 0.5000 0.0000 0.5000 1
Nb3 Nb 0.5000 0.5000 0.0000 1
Sn1 Sn 0.5000 0.5000 0.5000 1
```

**SG**: Pm-3m (221)
**DFT formation energy**: 1.327 eV per atom
**Energy relative to the lowest polymorph listed for this composition**: 0.0 meV/atom

---

Record 3
Ca2NbSn2: optimized geometry, PBE.

Cell and atoms, written as CIF:
```
data_Ca2NbSn2
_chemical_formula_sum 'Ca4 Nb2 Sn4'
_cell_length_a 7.6199
_cell_length_b 7.6199
_cell_length_c 4.7305
_cell_angle_alpha 90.00
_cell_angle_beta 90.00
_cell_angle_gamma 90.00
_space_group_name_H-M_alt 'P 1'
_space_group_IT_number 1
loop_
_space_group_symop_operation_xyz
'x,y,z'
loop_
_atom_site_label
_atom_site_type_symbol
_atom_site_fract_x
_atom_site_fract_y
_atom_site_fract_z
_atom_site_occupancy
Ca1 Ca 0.1709 0.3291 0.0000 1
Ca2 Ca 0.3291 0.8291 0.0000 1
Ca3 Ca 0.6709 0.1709 0.0000 1
Ca4 Ca 0.8291 0.6709 0.0000 1
Nb1 Nb 0.0000 0.0000 0.5000 1
Nb2 Nb 0.5000 0.5000 0.5000 1
Sn1 Sn 0.1385 0.6385 0.5000 1
Sn2 Sn 0.3615 0.1385 0.5000 1
Sn3 Sn 0.6385 0.8615 0.5000 1
Sn4 Sn 0.8615 0.3615 0.5000 1
```

**SG**: P4/mbm (127)
**DFT formation energy**: -0.191 eV per atom

---

Record 4
CaNbSnTe2: optimized geometry, PBE.

Cell and atoms, written as CIF:
```
data_CaNbSnTe2
_chemical_formula_sum 'Ca1 Nb1 Sn1 Te2'
_cell_length_a 5.7269
_cell_length_b 5.7269
_cell_length_c 5.5030
_cell_angle_alpha 90.00
_cell_angle_beta 90.00
_cell_angle_gamma 90.00
_space_group_name_H-M_alt 'P 1'
_space_group_IT_number 1
loop_
_space_group_symop_operation_xyz
'x,y,z'
loop_
_atom_site_label
_atom_site_type_symbol
_atom_site_fract_x
_atom_site_fract_y
_atom_site_fract_z
_atom_site_occupancy
Ca1 Ca 0.0000 0.0000 0.0000 1
Nb1 Nb 0.0000 0.0000 0.5000 1
Sn1 Sn 0.5000 0.5000 0.5000 1
Te1 Te 0.0000 0.5000 0.0000 1
Te2 Te 0.5000 0.0000 0.0000 1
```

**SG**: P4/mmm (123)
**Formation energy (no corrections)**: 88 kJ per mole of atoms

---

Record 5
Sr3CaNb: optimized geometry, PBE.

Cell and atoms, written as CIF:
```
data_Sr3CaNb
_chemical_formula_sum 'Sr3 Ca1 Nb1'
_cell_length_a 6.0320
_cell_length_b 6.0320
_cell_length_c 6.0320
_cell_angle_alpha 90.00
_cell_angle_beta 90.00
_cell_angle_gamma 90.00
_space_group_name_H-M_alt 'P 1'
_space_group_IT_number 1
loop_
_space_group_symop_operation_xyz
'x,y,z'
loop_
_atom_site_label
_atom_site_type_symbol
_atom_site_fract_x
_atom_site_fract_y
_atom_site_fract_z
_atom_site_occupancy
Sr1 Sr 0.0000 0.0000 0.5000 1
Sr2 Sr 0.0000 0.5000 0.0000 1
Sr3 Sr 0.5000 0.0000 0.0000 1
Ca1 Ca 0.0000 0.0000 0.0000 1
Nb1 Nb 0.5000 0.5000 0.5000 1
```

**SG**: Pm-3m (221)
**DFT formation energy**: 1.663 eV per atom
**Energy relative to the lowest polymorph listed for this composition**: 926.6 meV/atom

---

Record 6
SrCaNb: optimized geometry, PBE.

Cell and atoms, written as CIF:
```
data_SrCaNb
_chemical_formula_sum 'Sr2 Ca2 Nb2'
_cell_length_a 7.0311
_cell_length_b 7.0311
_cell_length_c 8.4844
_cell_angle_alpha 109.00
_cell_angle_beta 109.00
_cell_angle_gamma 31.80
_space_group_name_H-M_alt 'P 1'
_space_group_IT_number 1
loop_
_space_group_symop_operation_xyz
'x,y,z'
loop_
_atom_site_label
_atom_site_type_symbol
_atom_site_fract_x
_atom_site_fract_y
_atom_site_fract_z
_atom_site_occupancy
Sr1 Sr 0.0000 0.0000 0.0000 1
Sr2 Sr 0.0000 0.0000 0.5000 1
Ca1 Ca 0.2927 0.2927 0.6958 1
Ca2 Ca 0.7073 0.7073 0.3042 1
Nb1 Nb 0.3053 0.3053 0.0883 1
Nb2 Nb 0.6947 0.6947 0.9117 1
```

**SG**: C2/m (12)
**DFT formation energy**: 0.488 eV per atom
**Energy relative to the lowest polymorph listed for this composition**: 57.0 meV/atom

---

Record 7
SrCaNb: optimized geometry, PBE.

Cell and atoms, written as CIF:
```
data_SrCaNb
_chemical_formula_sum 'Sr2 Ca2 Nb2'
_cell_length_a 6.0817
_cell_length_b 6.0817
_cell_length_c 6.9724
_cell_angle_alpha 104.88
_cell_angle_beta 104.88
_cell_angle_gamma 57.66
_space_group_name_H-M_alt 'P 1'
_space_group_IT_number 1
loop_
_space_group_symop_operation_xyz
'x,y,z'
loop_
_atom_site_label
_atom_site_type_symbol
_atom_site_fract_x
_atom_site_fract_y
_atom_site_fract_z
_atom_site_occupancy
Sr1 Sr 0.1926 0.1926 0.1475 1
Sr2 Sr 0.8074 0.8074 0.8525 1
Ca1 Ca 0.4330 0.4330 0.6896 1
Ca2 Ca 0.5670 0.5670 0.3104 1
Nb1 Nb 0.0990 0.0990 0.6084 1
Nb2 Nb 0.9010 0.9010 0.3916 1
```

**SG**: C2/m (12)
**DFT formation energy**: 0.493 eV per atom
**Energy relative to the lowest polymorph listed for this composition**: 61.6 meV/atom

---

Record 8
SrCaNb: optimized geometry, PBE.

Cell and atoms, written as CIF:
```
data_SrCaNb
_chemical_formula_sum 'Sr1 Ca1 Nb1'
_cell_length_a 3.4681
_cell_length_b 3.4689
_cell_length_c 8.8283
_cell_angle_alpha 89.65
_cell_angle_beta 89.83
_cell_angle_gamma 60.05
_space_group_name_H-M_alt 'P 1'
_space_group_IT_number 1
loop_
_space_group_symop_operation_xyz
'x,y,z'
loop_
_atom_site_label
_atom_site_type_symbol
_atom_site_fract_x
_atom_site_fract_y
_atom_site_fract_z
_atom_site_occupancy
Sr1 Sr 0.0000 0.0000 0.0000 1
Ca1 Ca 0.3326 0.3428 0.4096 1
Nb1 Nb 0.6664 0.6715 0.6971 1
```

**SG**: P1 (1)
**DFT formation energy**: 0.751 eV per atom
**Energy relative to the lowest polymorph listed for this composition**: 319.9 meV/atom